{"formula": "Ca2AuSe", "functional": "PBE-GGA", "state": "relaxed", "e_form_raw_ev_per_atom": -1.24, "cell": [[6.022, 0.000, 0.000], [0.000, 4.268, 0.000], [0.000, 0.000, 4.271]], "species": ["Ca", "Ca", "Au", "Se"], "frac_coords": [[0.500, 0.375, 0.375], [0.000, 0.875, 0.875], [0.500, 0.875, 0.875], [0.000, 0.375, 0.375]]}

{"formula": "Ce3CuSi2", "functional": "PBE-GGA", "state": "relaxed", "e_form_raw_ev_per_atom": -0.53, "cell": [[4.096, 0.000, 0.000], [0.000, 10.378, 0.000], [0.000, 0.000, 12.071]], "species": ["Si", "Si", "Si", "Si", "Si", "Si", "Si", "Si", "Ce", "Ce", "Ce", "Ce", "Ce", "Ce", "Ce", "Ce", "Ce", "Ce", "Ce", "Ce", "Cu", "Cu", "Cu", "Cu"], "frac_coords": [[0.750, 0.979, 0.702], [0.250, 0.693, 0.467], [0.750, 0.307, 0.533], [0.750, 0.521, 0.202], [0.250, 0.021, 0.298], [0.250, 0.479, 0.798], [0.250, 0.807, 0.967], [0.750, 0.193, 0.033], [0.750, 0.910, 0.459], [0.250, 0.418, 0.370], [0.250, 0.090, 0.541], [0.750, 0.590, 0.959], [0.250, 0.740, 0.209], [0.250, 0.410, 0.041], [0.250, 0.760, 0.709], [0.750, 0.918, 0.130], [0.750, 0.260, 0.791], [0.250, 0.082, 0.870], [0.750, 0.240, 0.291], [0.750, 0.582, 0.630], [0.250, 0.140, 0.127], [0.750, 0.860, 0.873], [0.750, 0.640, 0.373], [0.250, 0.360, 0.627]]}

{"formula": "CdPb2I6", "functional": "PBE-GGA", "state": "relaxed", "e_above_lowest_polymorph_ev_per_fu": 0.18, "e_form_raw_ev_per_atom": -0.57, "cell": [[7.522, 0.000, 0.000], [0.000, 7.522, 0.000], [0.000, 0.000, 14.167]], "species": ["I", "I", "I", "I", "I", "I", "I", "I", "I", "I", "I", "I", "Pb", "Pb", "Pb", "Pb", "Cd", "Cd"], "frac_coords": [[0.192, 0.808, 0.657], [0.808, 0.192, 0.657], [0.808, 0.192, 0.343], [0.209, 0.791, 0.000], [0.308, 0.308, 0.157], [0.692, 0.692, 0.157], [0.308, 0.308, 0.843], [0.291, 0.291, 0.500], [0.791, 0.209, 0.000], [0.709, 0.709, 0.500], [0.192, 0.808, 0.343], [0.692, 0.692, 0.843], [0.000, 0.000, 0.165], [0.500, 0.500, 0.665], [0.500, 0.500, 0.335], [0.000, 0.000, 0.835], [0.000, 0.000, 0.500], [0.500, 0.500, 0.000]]}

{"formula": "Li3MoRu", "functional": "PBE-GGA", "state": "relaxed", "e_above_lowest_polymorph_ev_per_fu": 0.00, "cell": [[-0.219, -4.005, -1.401], [3.465, -0.978, 2.255], [-2.448, -1.026, 3.317]], "species": ["Li", "Li", "Li", "Ru", "Mo"], "frac_coords": [[0.000, 0.500, 0.000], [0.000, 0.000, 0.500], [0.500, 0.000, 0.000], [0.000, 0.000, 0.000], [0.500, 0.500, 0.500]]}

{"formula": "LaTb2Pr5Dy", "functional": "PBE-GGA", "state": "relaxed", "e_tot_ev_per_atom": -4.467, "cell": [[9.491, 0.000, 0.000], [0.000, 9.491, 0.000], [-4.745, -4.745, 7.173]], "species": ["Tb", "Tb", "Tb", "Tb", "Pr", "Pr", "Pr", "Pr", "Pr", "Pr", "Pr", "Pr", "Pr", "Pr", "Dy", "Dy", "La", "La"], "frac_coords": [[0.109, 0.391, 0.000], [0.609, 0.109, 0.000], [0.391, 0.891, 0.000], [0.891, 0.609, 0.000], [0.665, 0.165, 0.736], [0.500, 0.500, 0.000], [0.835, 0.929, 0.264], [0.429, 0.335, 0.264], [0.000, 0.000, 0.000], [0.165, 0.071, 0.736], [0.335, 0.835, 0.264], [0.071, 0.571, 0.736], [0.571, 0.665, 0.736], [0.929, 0.429, 0.264], [0.250, 0.750, 0.500], [0.750, 0.250, 0.500], [0.750, 0.750, 0.500], [0.250, 0.250, 0.500]]}

{"formula": "Nb2CrHRh", "functional": "PBE-GGA", "state": "relaxed", "e_above_lowest_polymorph_ev_per_fu": 0.00, "cell": [[-2.540, -3.065, 1.617], [2.799, -2.996, -1.283], [1.670, 0.241, 3.079]], "species": ["Cr", "Nb", "Nb", "Rh", "H"], "frac_coords": [[0.000, 0.000, 0.500], [0.000, 0.500, 0.000], [0.500, 0.000, 0.000], [0.500, 0.500, 0.500], [0.000, 0.000, 0.000]]}

{"formula": "Zn2CuBr", "functional": "PBE-GGA", "state": "relaxed", "e_above_lowest_polymorph_ev_per_fu": 0.51, "e_form_raw_ev_per_atom": 0.08, "cell": [[-2.654, -2.048, 6.658], [-3.509, -4.738, 4.562], [-0.272, -4.526, 5.917]], "species": ["Zn", "Zn", "Cu", "Br"], "frac_coords": [[0.260, 0.260, 0.260], [0.005, 0.005, 0.005], [0.746, 0.746, 0.746], [0.489, 0.489, 0.489]]}

{"formula": "Ni2SnC2", "functional": "PBE-GGA", "state": "relaxed", "e_above_lowest_polymorph_ev_per_fu": 1.28, "cell": [[-0.709, -5.707, -2.430], [6.136, -0.289, -1.111], [0.463, -1.289, 2.893]], "species": ["Sn", "Sn", "Ni", "Ni", "Ni", "Ni", "C", "C", "C", "C"], "frac_coords": [[0.500, 0.500, 0.000], [0.000, 0.000, 0.000], [0.636, 0.864, 0.500], [0.136, 0.636, 0.500], [0.864, 0.364, 0.500], [0.364, 0.136, 0.500], [0.921, 0.579, 0.000], [0.421, 0.921, 0.000], [0.579, 0.079, 0.000], [0.079, 0.421, 0.000]]}